Below is an optimized crystal structure of Pm2CoN, with properties calculated at the PBE level.

Results
Energy, eV/cell: -25.79
Space-group type: P4/mmm
Distance to the lowest polymorph of the same formula, meV/atom: 271.1
Calculated density, Mg/m³: 8.66

Cell lengths 3.2224, 3.2224, 6.6992 Å; angles 90.00, 90.00, 90.00 degrees
Closest atoms and distances in Å follow each position.
Fractional positions:
N1 0.5000 0.5000 0.5000  8 Pm 2.72
Co1 0.5000 0.5000 0.0000  8 Pm 2.95, 4 Co 3.22
Pm1 0.0000 0.0000 0.7211  4 N 2.72, 4 Co 2.95, 1 Pm 2.96
Pm2 0.0000 0.0000 0.2789  4 N 2.72, 4 Co 2.95, 1 Pm 2.96